1.
Density functional theory data (PBE-GGA) for CoTc2 after structural relaxation.

Values from the calculation:
Polymorph energy (0 for the lowest one), eV/f.u.: 0.171
V, Å³/f.u.: 39.68
D(E_F), states/eV/f.u.: 4.06
ΔH_f (0 K), eV per atom: 0.07
Size of the total moment, μB per atom: 0.054

a b c (Å): 3.758 11.158 3.786
angles (deg): 90.00 90.00 90.00
Fractional coordinates of all 12 atoms:
Co1 0.000 0.082 0.250
Co2 0.000 0.918 0.750
Co3 0.500 0.418 0.750
Co4 0.500 0.582 0.250
Tc1 0.000 0.247 0.750
Tc2 0.000 0.422 0.250
Tc3 0.000 0.578 0.750
Tc4 0.000 0.753 0.250
Tc5 0.500 0.078 0.750
Tc6 0.500 0.253 0.250
Tc7 0.500 0.747 0.750
Tc8 0.500 0.922 0.250

2.
Density functional theory data (PBE-GGA) for K4LaW after structural relaxation.

Values from the calculation:
V, Å³/f.u.: 252.03
D(E_F), states/eV/f.u.: 12.07
ΔH_f (0 K), eV per atom: 1.39
Size of the total moment, μB per atom: 0.643

a b c (Å): 7.090 7.090 7.090
angles (deg): 60.00 60.00 60.00
Fractional coordinates of all 6 atoms:
K1 0.377 0.377 0.377
K2 0.377 0.377 0.869
K3 0.377 0.869 0.377
K4 0.869 0.377 0.377
La1 0.000 0.000 0.000
W1 0.750 0.750 0.750

3.
Density functional theory data (PBE-GGA) for CsSrTe2C after structural relaxation.

Values from the calculation:
Uncorrected formation energy, meV per atom: 518
V, Å³/f.u.: 222.13
D(E_F), states/eV/f.u.: 7.60
Size of the total moment, μB per atom: 0.213

a b c (Å): 6.407 6.407 5.411
angles (deg): 90.00 90.00 90.00
Fractional coordinates of all 5 atoms:
Cs1 0.000 0.000 0.000
Sr1 0.500 0.500 0.500
Te1 0.000 0.500 0.500
Te2 0.500 0.000 0.500
C1 0.500 0.500 0.000

4.
Density functional theory data (PBE-GGA) for KLiAuS2 after structural relaxation.

Values from the calculation:
Uncorrected formation energy, meV per atom: -725
V, Å³/f.u.: 113.98
D(E_F), states/eV/f.u.: 4.41
Size of the total moment, μB per atom: 0.000

a b c (Å): 7.508 7.508 5.883
angles (deg): 90.00 90.00 136.58
Fractional coordinates of all 10 atoms:
K1 0.250 0.750 0.765
K2 0.750 0.250 0.235
Li1 0.250 0.250 0.500
Li2 0.750 0.750 0.500
Au1 0.000 0.000 0.000
Au2 0.500 0.500 0.000
S1 0.116 0.884 0.287
S2 0.384 0.616 0.287
S3 0.616 0.384 0.713
S4 0.884 0.116 0.713